A plane-wave DFT calculation with PBE-GGA was carried out for an optimized crystal structure of K2EuSi4O10F.

Cell lengths 11.8660, 8.6803, 11.9871 Å; angles 90.00, 113.29, 90.00 degrees
Closest atoms and distances in Å follow each position.
Space group P2_1/m (No. 11)
Asymmetric unit:
K 0.0060 0.2500 0.4728 x2  1 F 2.83, 4 O 2.88-2.95
K 0.0885 0.2500 0.0795 x2  8 O 2.84-3.17
K 0.4381 0.7500 0.5560 x2  5 O 2.81-3.05, 1 F 2.88
K 0.4687 0.2500 0.0348 x2  1 F 2.78, 4 O 2.87-3.08
Eu 0.2895 0.0057 0.7114 x4  2 F 2.28-2.31, 4 O 2.29-2.34
Si 0.0114 0.0704 0.7580 x4  4 O 1.61-1.66
Si 0.2213 0.5726 0.9693 x4  4 O 1.60-1.66
Si 0.2468 0.0726 0.3786 x4  4 O 1.59-1.66
Si 0.3900 0.5649 0.2378 x4  4 O 1.61-1.66
O 0.0362 0.7500 0.2506 x2  2 Si 1.65
O 0.0816 0.0333 0.6708 x4  1 Si 1.61
O 0.0978 0.0372 0.9036 x4  2 Si 1.66
O 0.1093 0.0418 0.2707 x4  2 Si 1.65
O 0.1671 0.7500 0.9619 x2  2 Si 1.66
O 0.2488 0.0478 0.5108 x4  1 Si 1.59
O 0.2717 0.5154 0.1125 x4  2 Si 1.65-1.66
O 0.2828 0.2500 0.3525 x2  2 Si 1.66
O 0.3217 0.5544 0.9121 x4  1 Si 1.60
O 0.3477 0.5383 0.3530 x4  2 Si 1.66
O 0.4162 0.7500 0.2337 x2  2 Si 1.64
O 0.4925 0.5377 0.7476 x4  1 Si 1.61
F 0.2521 0.7500 0.6537 x2  2 Eu 2.31
F 0.3281 0.2500 0.7863 x2  2 Eu 2.28

E_form (uncorrected) = -49.8 eV/f.u.
E = -7.524 eV per atom



A plane-wave DFT calculation with PBE-GGA was carried out for an optimized crystal structure of La3EuF.

Cell lengths 5.3298, 5.3298, 5.3298 Å; angles 90.00, 90.00, 90.00 degrees
Closest atoms and distances in Å follow each position.
Space group Pm-3m (No. 221)
Asymmetric unit:
La 0.0000 0.0000 0.5000 x3  2 F 2.66
Eu 0.5000 0.5000 0.5000 x1  12 La 3.77
F 0.0000 0.0000 0.0000 x1  6 La 2.66

E_form (uncorrected) = -4.9 eV/f.u.
E = -6.366 eV per atom



A plane-wave DFT calculation with PBE-GGA was carried out for an optimized crystal structure of LiEuF3.

Cell lengths 3.8846, 3.8846, 3.8846 Å; angles 90.00, 90.00, 90.00 degrees
Closest atoms and distances in Å follow each position.
Space group Pm-3m (No. 221)
Asymmetric unit:
Li 0.0000 0.0000 0.0000 x1  6 F 1.94
Eu 0.5000 0.5000 0.5000 x1  12 F 2.75
F 0.0000 0.0000 0.5000 x3  2 Li 1.94

E_form (uncorrected) = -16.9 eV/f.u.
E = -6.938 eV per atom



A plane-wave DFT calculation with PBE-GGA was carried out for an optimized crystal structure of Eu2MgF.

Cell lengths 3.3990, 3.3990, 8.8936 Å; angles 90.00, 90.00, 90.00 degrees
Closest atoms and distances in Å follow each position.
Space group P4/mmm (No. 123)
Asymmetric unit:
Eu 0.0000 0.0000 0.2079 x2  4 F 3.03
Mg 0.5000 0.5000 0.5000 x1  4 Mg 3.40, 8 Eu 3.54
F 0.5000 0.5000 0.0000 x1  8 Eu 3.03

E_form (uncorrected) = -4.1 eV/f.u.
E = -7.040 eV per atom



A plane-wave DFT calculation with PBE-GGA was carried out for an optimized crystal structure of Eu2MgF.

Cell lengths 3.8259, 3.8259, 25.8289 Å; angles 90.00, 90.00, 120.00 degrees
Closest atoms and distances in Å follow each position.
Space group R-3m (No. 166, hexagonal axes)
Asymmetric unit:
Eu 0.0000 0.0000 0.2278 x6  3 F 2.72
Mg 0.0000 0.0000 0.0000 x3  6 Eu 3.51, 6 Mg 3.83
F 0.0000 0.0000 0.5000 x3  6 Eu 2.72

E_form (uncorrected) = -4.9 eV/f.u.
E = -7.227 eV per atom



A plane-wave DFT calculation with PBE-GGA was carried out for an optimized crystal structure of Eu3Mg5F12.

Cell lengths 13.6170, 13.6170, 13.6170 Å; angles 90.00, 90.00, 90.00 degrees
Closest atoms and distances in Å follow each position.
Space group Ia-3d (No. 230)
Asymmetric unit:
Eu 0.0000 0.2500 0.1250 x24  8 F 2.52-2.77
Mg 0.0000 0.0000 0.0000 x16  6 F 2.10
Mg 0.0000 0.2500 0.3750 x24  4 F 2.14
F 0.0191 0.0487 0.6448 x96  2 Mg 2.10-2.14

E_form (uncorrected) = -59.9 eV/f.u.
E = -6.059 eV per atom



A plane-wave DFT calculation with PBE-GGA was carried out for an optimized crystal structure of Eu3MgF.

Cell lengths 5.2674, 5.2674, 5.2674 Å; angles 90.00, 90.00, 90.00 degrees
Closest atoms and distances in Å follow each position.
Space group Pm-3m (No. 221)
Asymmetric unit:
Eu 0.0000 0.0000 0.5000 x3  2 F 2.63
Mg 0.5000 0.5000 0.5000 x1  12 Eu 3.72
F 0.0000 0.0000 0.0000 x1  6 Eu 2.63

E_form (uncorrected) = -5.2 eV/f.u.
E = -7.905 eV per atom



no.,M_tot (μB/f.u.)
1,6.00
2,7.28
3,7.00
4,15.32
5,15.77
6,21.77
7,22.61